InCuIrSe3 | GGA-PBE | optimized geometry Values from VASP.

Values from the calculation:
- space-group type = Cmcm
- VASP energy (eV/f.u.) = -26.6
- size of the total moment (μB/f.u.) = 0.00

```
&SYSTEM
  ibrav = 0, nat = 12, ntyp = 4
/
ATOMIC_SPECIES
In 114.82 In.upf
Cu 63.55 Cu.upf
Ir 192.22 Ir.upf
Se 78.96 Se.upf
CELL_PARAMETERS angstrom
1.925 -6.625 0.000
1.925 6.625 0.000
0.000 0.000 9.615
ATOMIC_POSITIONS crystal
In 0.241 0.759 0.750
In 0.759 0.241 0.250
Cu 0.472 0.528 0.250
Cu 0.528 0.472 0.750
Ir 0.000 0.000 0.000
Ir 0.000 0.000 0.500
Se 0.081 0.919 0.250
Se 0.373 0.627 0.040
Se 0.373 0.627 0.460
Se 0.627 0.373 0.540
Se 0.627 0.373 0.960
Se 0.919 0.081 0.750
```